Entry 1:
# SnPt4 GGA-PBE optimized geometry
data_SnPt4
_chemical_formula_sum 'Sn2 Pt8'
_cell_length_a 3.9948
_cell_length_b 5.6708
_cell_length_c 8.2390
_cell_angle_alpha 110.13
_cell_angle_beta 104.03
_cell_angle_gamma 90.00
_symmetry_space_group_name_H-M 'P 1'
_symmetry_Int_Tables_number 1
_symmetry_space_group_name_Hall 'P 1'
loop_
_atom_site_label
_atom_site_type_symbol
_atom_site_fract_x
_atom_site_fract_y
_atom_site_fract_z
Pt1 Pt 0.3108 0.3188 0.6215
Pt2 Pt 0.5000 0.5000 0.0000
Pt3 Pt 0.5000 0.0000 0.0000
Pt4 Pt 0.9043 0.6543 0.8085
Sn1 Sn 0.1065 0.8565 0.2130
Sn2 Sn 0.8935 0.1435 0.7870
Pt5 Pt 0.0957 0.3457 0.1915
Pt6 Pt 0.6892 0.6812 0.3785
Pt7 Pt 0.6892 0.1973 0.3785
Pt8 Pt 0.3108 0.8027 0.6215
# Calculated volume in Å³/f.u.: 85
# Mass density in g/cm3: 17.64
# D(E_F) in states/eV/atom: 0.71
# ΔE_f in meV/atom: -237
# Total magnetization in μB/f.u.: 0.000
# Energy above the most stable polymorph in this dataset in eV/atom: 0.0000


Entry 2:
# Pm5NdDy5 GGA-PBE optimized geometry
data_Pm5NdDy5
_chemical_formula_sum 'Pm5 Nd1 Dy5'
_cell_length_a 6.1375
_cell_length_b 6.1375
_cell_length_c 11.7378
_cell_angle_alpha 90.00
_cell_angle_beta 90.00
_cell_angle_gamma 120.00
_symmetry_space_group_name_H-M 'P 1'
_symmetry_Int_Tables_number 1
_symmetry_space_group_name_Hall 'P 1'
loop_
_atom_site_label
_atom_site_type_symbol
_atom_site_fract_x
_atom_site_fract_y
_atom_site_fract_z
Pm1 Pm 0.6667 0.3333 0.8437
Pm2 Pm 0.6667 0.3333 0.1563
Dy1 Dy 0.8330 0.1670 0.5000
Dy2 Dy 0.0000 0.0000 0.2659
Dy3 Dy 0.8330 0.6660 0.5000
Dy4 Dy 0.0000 0.0000 0.7341
Pm3 Pm 0.0000 0.0000 0.0000
Dy5 Dy 0.3340 0.1670 0.5000
Pm4 Pm 0.3333 0.6667 0.3216
Pm5 Pm 0.3333 0.6667 0.6784
Nd1 Nd 0.3333 0.6667 0.0000
# Calculated volume in Å³/f.u.: 383
# Mass density in g/cm3: 7.29
# D(E_F) in states/eV/atom: 1.86
# ΔE_f in meV/atom: 292
# Total magnetization in μB/f.u.: 0.000


Entry 3:
# Zn2SnSbBr GGA-PBE optimized geometry
data_Zn2SnSbBr
_chemical_formula_sum 'Zn2 Sn1 Sb1 Br1'
_cell_length_a 5.1914
_cell_length_b 5.9539
_cell_length_c 5.1914
_cell_angle_alpha 90.00
_cell_angle_beta 90.00
_cell_angle_gamma 90.00
_symmetry_space_group_name_H-M 'P 1'
_symmetry_Int_Tables_number 1
_symmetry_space_group_name_Hall 'P 1'
loop_
_atom_site_label
_atom_site_type_symbol
_atom_site_fract_x
_atom_site_fract_y
_atom_site_fract_z
Sb1 Sb 0.0000 0.5000 0.0000
Zn1 Zn 0.5000 0.0000 0.0000
Zn2 Zn 0.0000 0.0000 0.5000
Br1 Br 0.5000 0.5000 0.5000
Sn1 Sn 0.0000 0.0000 0.0000
# Calculated volume in Å³/f.u.: 160
# Mass density in g/cm3: 4.67
# Formation energy from raw total energies in eV/atom: 0.35
# D(E_F) in states/eV/atom: 0.78
# Total magnetization in μB/f.u.: 0.042


Which of these has the highest mass density? SnPt4


Which value of calculated volume does entry 3 give? 160 Å³/f.u.


What did the second record say?
# Pm5NdDy5 GGA-PBE optimized geometry
data_Pm5NdDy5
_chemical_formula_sum 'Pm5 Nd1 Dy5'
_cell_length_a 6.1375
_cell_length_b 6.1375
_cell_length_c 11.7378
_cell_angle_alpha 90.00
_cell_angle_beta 90.00
_cell_angle_gamma 120.00
_symmetry_space_group_name_H-M 'P 1'
_symmetry_Int_Tables_number 1
_symmetry_space_group_name_Hall 'P 1'
loop_
_atom_site_label
_atom_site_type_symbol
_atom_site_fract_x
_atom_site_fract_y
_atom_site_fract_z
Pm1 Pm 0.6667 0.3333 0.8437
Pm2 Pm 0.6667 0.3333 0.1563
Dy1 Dy 0.8330 0.1670 0.5000
Dy2 Dy 0.0000 0.0000 0.2659
Dy3 Dy 0.8330 0.6660 0.5000
Dy4 Dy 0.0000 0.0000 0.7341
Pm3 Pm 0.0000 0.0000 0.0000
Dy5 Dy 0.3340 0.1670 0.5000
Pm4 Pm 0.3333 0.6667 0.3216
Pm5 Pm 0.3333 0.6667 0.6784
Nd1 Nd 0.3333 0.6667 0.0000
# Calculated volume in Å³/f.u.: 383
# Mass density in g/cm3: 7.29
# D(E_F) in states/eV/atom: 1.86
# ΔE_f in meV/atom: 292
# Total magnetization in μB/f.u.: 0.000


What is the total magnetization in the third record? 0.042 μB/f.u.